1.
First-principles (meta-GGA SCAN) data for a crystal of LiCaTi2P relaxed with PBEsol, as listed in Alexandria.

Energy of formation from the pure elements   -0.748 eV/f.u.

```
data_LiCaTi2P
_cell_length_a 4.6909
_cell_length_b 4.6909
_cell_length_c 4.7089
_cell_angle_alpha 90.00
_cell_angle_beta 90.00
_cell_angle_gamma 90.00
_space_group_name_H-M_alt 'P 4/m m m'
_space_group_IT_number 123
_space_group_name_Hall '-P 4 2'
loop_
_atom_site_label
_atom_site_fract_x
_atom_site_fract_y
_atom_site_fract_z
_atom_site_occupancy
Li1 0.0000 0.0000 0.0000 1
Ca1 0.5000 0.5000 0.0000 1
Ti1 0.0000 0.5000 0.5000 1
P1 0.0000 0.0000 0.5000 1
```

2.
First-principles (meta-GGA SCAN) data for a crystal of LiCaPb2 relaxed with PBEsol, as listed in Alexandria.

Energy of formation from the pure elements   -2.124 eV/f.u.

```
data_LiCaPb2
_cell_length_a 4.8539
_cell_length_b 4.8539
_cell_length_c 8.8115
_cell_angle_alpha 90.00
_cell_angle_beta 90.00
_cell_angle_gamma 90.00
_space_group_name_H-M_alt 'I 4/m m m'
_space_group_IT_number 139
_space_group_name_Hall '-I 4 2'
loop_
_atom_site_label
_atom_site_fract_x
_atom_site_fract_y
_atom_site_fract_z
_atom_site_occupancy
Li1 0.0000 0.0000 0.0000 1
Ca1 0.0000 0.0000 0.5000 1
Pb1 0.0000 0.5000 0.2500 1
```

3.
First-principles (meta-GGA SCAN) data for a crystal of LiCaPb2 relaxed with PBEsol, as listed in Alexandria.

Energy of formation from the pure elements   -2.197 eV/f.u.

```
data_LiCaPb2
_cell_length_a 4.7454
_cell_length_b 4.7454
_cell_length_c 4.5554
_cell_angle_alpha 90.00
_cell_angle_beta 90.00
_cell_angle_gamma 90.00
_space_group_name_H-M_alt 'P 4/m m m'
_space_group_IT_number 123
_space_group_name_Hall '-P 4 2'
loop_
_atom_site_label
_atom_site_fract_x
_atom_site_fract_y
_atom_site_fract_z
_atom_site_occupancy
Li1 0.0000 0.0000 0.0000 1
Ca1 0.5000 0.5000 0.0000 1
Pb1 0.0000 0.5000 0.5000 1
```

4.
First-principles (meta-GGA SCAN) data for a crystal of Li4CaPb relaxed with PBEsol, as listed in Alexandria.

Energy of formation from the pure elements   -1.652 eV/f.u.

```
data_Li4CaPb
_cell_length_a 7.9143
_cell_length_b 7.9143
_cell_length_c 7.9143
_cell_angle_alpha 90.00
_cell_angle_beta 90.00
_cell_angle_gamma 90.00
_space_group_name_H-M_alt 'F -4 3 m'
_space_group_IT_number 216
_space_group_name_Hall 'F -4 2 3'
loop_
_atom_site_label
_atom_site_fract_x
_atom_site_fract_y
_atom_site_fract_z
_atom_site_occupancy
Li1 0.1248 0.1248 0.1248 1
Ca1 0.0000 0.0000 0.5000 1
Pb1 0.2500 0.2500 0.7500 1
```

5.
First-principles (meta-GGA SCAN) data for a crystal of LiCaPb2 relaxed with PBEsol, as listed in Alexandria.

Energy of formation from the pure elements   -1.893 eV/f.u.

```
data_LiCaPb2
_cell_length_a 4.6411
_cell_length_b 4.6411
_cell_length_c 9.8672
_cell_angle_alpha 90.00
_cell_angle_beta 90.00
_cell_angle_gamma 90.00
_space_group_name_H-M_alt 'I -4 m 2'
_space_group_IT_number 119
_space_group_name_Hall 'I -4 -2'
loop_
_atom_site_label
_atom_site_fract_x
_atom_site_fract_y
_atom_site_fract_z
_atom_site_occupancy
Li1 0.0000 0.0000 0.0000 1
Ca1 0.0000 0.5000 0.7500 1
Pb1 0.0000 0.0000 0.5000 1
Pb2 0.0000 0.5000 0.2500 1
```

6.
First-principles (meta-GGA SCAN) data for a crystal of Li2Ca2Pb relaxed with PBEsol, as listed in Alexandria.

Energy of formation from the pure elements   -1.706 eV/f.u.

```
data_Li2Ca2Pb
_cell_length_a 7.2676
_cell_length_b 7.2676
_cell_length_c 4.9108
_cell_angle_alpha 90.00
_cell_angle_beta 90.00
_cell_angle_gamma 90.00
_space_group_name_H-M_alt 'P 4/m b m'
_space_group_IT_number 127
_space_group_name_Hall '-P 4 2ab'
loop_
_atom_site_label
_atom_site_fract_x
_atom_site_fract_y
_atom_site_fract_z
_atom_site_occupancy
Li1 0.1279 0.3721 0.0000 1
Ca1 0.1971 0.6971 0.5000 1
Pb1 0.0000 0.0000 0.0000 1
```

7.
First-principles (meta-GGA SCAN) data for a crystal of LiCaPb2 relaxed with PBEsol, as listed in Alexandria.

Energy of formation from the pure elements   -2.238 eV/f.u.

```
data_LiCaPb2
_cell_length_a 3.7067
_cell_length_b 3.7067
_cell_length_c 7.4176
_cell_angle_alpha 90.00
_cell_angle_beta 90.00
_cell_angle_gamma 90.00
_space_group_name_H-M_alt 'P 4/m m m'
_space_group_IT_number 123
_space_group_name_Hall '-P 4 2'
loop_
_atom_site_label
_atom_site_fract_x
_atom_site_fract_y
_atom_site_fract_z
_atom_site_occupancy
Li1 0.0000 0.0000 0.0000 1
Ca1 0.0000 0.0000 0.5000 1
Pb1 0.5000 0.5000 0.2180 1
```

8.
First-principles (meta-GGA SCAN) data for a crystal of LiCaSi2Pb relaxed with PBEsol, as listed in Alexandria.

Energy relative to the elements, uncorrected   1.153 eV per formula unit

```
data_LiCaSi2Pb
_cell_length_a 4.6588
_cell_length_b 4.6588
_cell_length_c 4.8957
_cell_angle_alpha 90.00
_cell_angle_beta 90.00
_cell_angle_gamma 90.00
_space_group_name_H-M_alt 'P 4/m m m'
_space_group_IT_number 123
_space_group_name_Hall '-P 4 2'
loop_
_atom_site_label
_atom_site_fract_x
_atom_site_fract_y
_atom_site_fract_z
_atom_site_occupancy
Li1 0.0000 0.0000 0.0000 1
Ca1 0.5000 0.5000 0.5000 1
Si1 0.0000 0.5000 0.0000 1
Pb1 0.0000 0.0000 0.5000 1
```

9.
First-principles (meta-GGA SCAN) data for a crystal of LiCaPd3 relaxed with PBEsol, as listed in Alexandria.

Energy of formation from the pure elements   2.955 eV/f.u.

```
data_LiCaPd3
_cell_length_a 4.8988
_cell_length_b 4.8988
_cell_length_c 4.8988
_cell_angle_alpha 90.00
_cell_angle_beta 90.00
_cell_angle_gamma 90.00
_space_group_name_H-M_alt 'P m -3 m'
_space_group_IT_number 221
_space_group_name_Hall '-P 4 2 3'
loop_
_atom_site_label
_atom_site_fract_x
_atom_site_fract_y
_atom_site_fract_z
_atom_site_occupancy
Li1 0.0000 0.0000 0.0000 1
Ca1 0.5000 0.5000 0.5000 1
Pd1 0.0000 0.5000 0.5000 1
```

10.
First-principles (meta-GGA SCAN) data for a crystal of LiCa3Pd relaxed with PBEsol, as listed in Alexandria.

Energy of formation from the pure elements   -1.512 eV/f.u.

```
data_LiCa3Pd
_cell_length_a 5.5590
_cell_length_b 5.5590
_cell_length_c 5.5590
_cell_angle_alpha 90.00
_cell_angle_beta 90.00
_cell_angle_gamma 90.00
_space_group_name_H-M_alt 'P m -3 m'
_space_group_IT_number 221
_space_group_name_Hall '-P 4 2 3'
loop_
_atom_site_label
_atom_site_fract_x
_atom_site_fract_y
_atom_site_fract_z
_atom_site_occupancy
Li1 0.0000 0.0000 0.0000 1
Ca1 0.0000 0.5000 0.5000 1
Pd1 0.5000 0.5000 0.5000 1
```

11.
First-principles (meta-GGA SCAN) data for a crystal of LiCaPt relaxed with PBEsol, as listed in Alexandria.

Energy of formation from the pure elements   -1.836 eV/f.u.

```
data_LiCaPt
_cell_length_a 3.4631
_cell_length_b 3.4631
_cell_length_c 9.5252
_cell_angle_alpha 90.00
_cell_angle_beta 90.00
_cell_angle_gamma 90.00
_space_group_name_H-M_alt 'I 4 m m'
_space_group_IT_number 107
_space_group_name_Hall 'I 4 -2'
loop_
_atom_site_label
_atom_site_fract_x
_atom_site_fract_y
_atom_site_fract_z
_atom_site_occupancy
Li1 0.0000 0.0000 0.0000 1
Ca1 0.0000 0.0000 0.7173 1
Pt1 0.0000 0.0000 0.3928 1
```

12.
First-principles (meta-GGA SCAN) data for a crystal of Li3CaPt relaxed with PBEsol, as listed in Alexandria.

Energy of formation from the pure elements   -1.456 eV/f.u.

```
data_Li3CaPt
_cell_length_a 4.7478
_cell_length_b 4.7478
_cell_length_c 4.7478
_cell_angle_alpha 90.00
_cell_angle_beta 90.00
_cell_angle_gamma 90.00
_space_group_name_H-M_alt 'P m -3 m'
_space_group_IT_number 221
_space_group_name_Hall '-P 4 2 3'
loop_
_atom_site_label
_atom_site_fract_x
_atom_site_fract_y
_atom_site_fract_z
_atom_site_occupancy
Li1 0.0000 0.0000 0.5000 1
Ca1 0.5000 0.5000 0.5000 1
Pt1 0.0000 0.0000 0.0000 1
```

13.
First-principles (meta-GGA SCAN) data for a crystal of Li2CaPt relaxed with PBEsol, as listed in Alexandria.

Energy of formation from the pure elements   -2.327 eV/f.u.

```
data_Li2CaPt
_cell_length_a 4.3567
_cell_length_b 4.3567
_cell_length_c 14.2211
_cell_angle_alpha 90.00
_cell_angle_beta 90.00
_cell_angle_gamma 120.00
_space_group_name_H-M_alt 'R 3 m'
_space_group_IT_number 160
_space_group_name_Hall 'R 3 -2"'
loop_
_atom_site_label
_atom_site_fract_x
_atom_site_fract_y
_atom_site_fract_z
_atom_site_occupancy
Li1 0.0000 0.0000 0.0000 1
Li2 0.0000 0.0000 0.2806 1
Ca1 0.0000 0.0000 0.8001 1
Pt1 0.0000 0.0000 0.5897 1
```

14.
First-principles (meta-GGA SCAN) data for a crystal of LiCaPt4 relaxed with PBEsol, as listed in Alexandria.

Energy of formation from the pure elements   -5.197 eV/f.u.

```
data_LiCaPt4
_cell_length_a 7.4753
_cell_length_b 7.4753
_cell_length_c 7.4753
_cell_angle_alpha 90.00
_cell_angle_beta 90.00
_cell_angle_gamma 90.00
_space_group_name_H-M_alt 'F -4 3 m'
_space_group_IT_number 216
_space_group_name_Hall 'F -4 2 3'
loop_
_atom_site_label
_atom_site_fract_x
_atom_site_fract_y
_atom_site_fract_z
_atom_site_occupancy
Li1 0.0000 0.0000 0.0000 1
Ca1 0.2500 0.2500 0.7500 1
Pt1 0.1253 0.1253 0.3747 1
```

15.
First-principles (meta-GGA SCAN) data for a crystal of LiCaPt relaxed with PBEsol, as listed in Alexandria.

Energy of formation from the pure elements   -2.055 eV/f.u.

```
data_LiCaPt
_cell_length_a 4.3020
_cell_length_b 4.3020
_cell_length_c 3.6763
_cell_angle_alpha 90.00
_cell_angle_beta 90.00
_cell_angle_gamma 120.00
_space_group_name_H-M_alt 'P -6 m 2'
_space_group_IT_number 187
_space_group_name_Hall 'P -6 2'
loop_
_atom_site_label
_atom_site_fract_x
_atom_site_fract_y
_atom_site_fract_z
_atom_site_occupancy
Li1 0.0000 0.0000 0.0000 1
Ca1 0.6667 0.3333 0.5000 1
Pt1 0.3333 0.6667 0.0000 1
```